Below is a relaxed RbPrH8S2O12 crystal, with properties calculated at the PBE level.

Cell and atoms, written as POSCAR:
```
RbPrH8S2O12
1.0
-7.800 1.062 17.511
0.430 -6.722 0.599
8.008 -0.094 3.573
Rb Pr H S O
4 4 32 8 48
direct
0.291 0.141 0.400
0.791 0.859 0.100
0.709 0.859 0.600
0.209 0.141 0.900
0.120 0.641 0.231
0.620 0.359 0.269
0.880 0.359 0.769
0.380 0.641 0.731
0.068 0.795 0.902
0.568 0.205 0.598
0.932 0.205 0.098
0.432 0.795 0.402
0.137 0.684 0.870
0.637 0.316 0.630
0.863 0.316 0.130
0.363 0.684 0.370
0.010 0.682 0.521
0.510 0.318 0.979
0.990 0.318 0.479
0.490 0.682 0.021
0.088 0.649 0.575
0.588 0.351 0.925
0.912 0.351 0.425
0.412 0.649 0.075
0.959 0.722 0.245
0.459 0.278 0.255
0.041 0.278 0.755
0.541 0.722 0.745
0.970 0.652 0.080
0.470 0.348 0.420
0.030 0.348 0.920
0.530 0.652 0.580
0.401 0.188 0.050
0.901 0.812 0.450
0.599 0.812 0.950
0.099 0.188 0.550
0.434 0.026 0.172
0.934 0.974 0.328
0.566 0.974 0.828
0.066 0.026 0.672
0.071 0.185 0.221
0.571 0.815 0.279
0.929 0.815 0.779
0.429 0.185 0.721
0.278 0.613 0.111
0.778 0.387 0.389
0.722 0.387 0.889
0.222 0.613 0.611
0.117 0.009 0.223
0.617 0.991 0.277
0.883 0.991 0.777
0.383 0.009 0.723
0.087 0.296 0.359
0.587 0.704 0.141
0.913 0.704 0.641
0.413 0.296 0.859
0.497 0.871 0.278
0.997 0.129 0.222
0.503 0.129 0.722
0.003 0.871 0.778
0.087 0.332 0.085
0.587 0.668 0.415
0.913 0.668 0.915
0.413 0.332 0.585
0.241 0.800 0.141
0.741 0.200 0.359
0.759 0.200 0.859
0.259 0.800 0.641
0.204 0.620 0.446
0.704 0.380 0.054
0.796 0.380 0.554
0.296 0.620 0.946
0.228 0.445 0.152
0.728 0.555 0.348
0.772 0.555 0.848
0.272 0.445 0.652
0.343 0.584 0.204
0.843 0.416 0.296
0.657 0.416 0.796
0.157 0.584 0.704
0.114 0.756 0.950
0.614 0.244 0.550
0.886 0.244 0.050
0.386 0.756 0.450
0.058 0.686 0.483
0.558 0.314 0.017
0.942 0.314 0.517
0.442 0.686 0.983
0.994 0.658 0.179
0.494 0.342 0.321
0.006 0.342 0.821
0.506 0.658 0.679
0.403 0.144 0.161
0.903 0.856 0.339
0.597 0.856 0.839
0.097 0.144 0.661
```

## Properties
Calculated total energy (eV per cell): -551.53
Fermi-level density of states (states/eV/atom): 0.0000

Below is a relaxed PrH3S3O12 crystal, with properties calculated at the PBE level.

Cell and atoms, written as POSCAR:
```
PrH3S3O12
1.0
-0.331 -8.015 -5.237
8.404 4.282 1.677
0.666 -3.221 4.887
Pr H S O
2 6 6 24
direct
0.333 0.667 0.758
0.667 0.333 0.258
0.166 0.250 0.625
0.750 0.916 0.625
0.084 0.834 0.625
0.834 0.750 0.125
0.250 0.084 0.125
0.916 0.166 0.125
0.395 0.303 0.751
0.697 0.091 0.751
0.909 0.605 0.751
0.605 0.697 0.251
0.303 0.909 0.251
0.091 0.395 0.251
0.247 0.818 0.466
0.182 0.429 0.466
0.571 0.753 0.466
0.753 0.182 0.966
0.818 0.571 0.966
0.429 0.247 0.966
0.738 0.200 0.557
0.800 0.538 0.557
0.462 0.262 0.557
0.262 0.800 0.057
0.200 0.462 0.057
0.538 0.738 0.057
0.205 0.196 0.733
0.804 0.009 0.733
0.991 0.795 0.733
0.795 0.804 0.233
0.196 0.991 0.233
0.009 0.205 0.233
0.437 0.472 0.754
0.528 0.965 0.754
0.035 0.563 0.754
0.563 0.528 0.254
0.472 0.035 0.254
0.965 0.437 0.254
```

## Properties
Calculated total energy (eV per cell): -233.70
Fermi-level density of states (states/eV/atom): 0.0000

Below is a relaxed Pr2SbHO crystal, with properties calculated at the PBE level.

Cell and atoms, written as POSCAR:
```
Pr2SbHO
1.0
-0.893 2.995 -2.537
-3.829 -0.091 1.241
3.739 2.827 5.214
Pr Sb H O
2 1 1 1
direct
0.649 0.649 0.298
0.351 0.351 0.702
0.000 0.000 0.000
0.750 0.250 0.500
0.250 0.750 0.500
```

## Properties
Calculated total energy (eV per cell): -30.70
Fermi-level density of states (states/eV/atom): 0.3628

Below is a relaxed PrTcHO6 crystal, with properties calculated at the PBE level.

Cell and atoms, written as POSCAR:
```
PrTcHO6
1.0
-3.906 -0.140 -1.863
-1.995 -4.639 -0.649
-1.903 0.868 4.684
Pr Tc H O
1 1 1 6
direct
0.077 0.975 0.924
0.331 0.338 0.456
0.639 0.780 0.526
0.944 0.307 0.346
0.571 0.955 0.654
0.562 0.452 0.773
0.078 0.453 0.797
0.243 0.675 0.337
0.555 0.064 0.186
```

## Properties
Calculated total energy (eV per cell): -62.79
Fermi-level density of states (states/eV/atom): 0.1627

Below is a relaxed HPtO3 crystal, with properties calculated at the PBE level.

Cell and atoms, written as POSCAR:
```
HPtO3
1.0
-2.611 2.656 0.990
-2.713 -2.731 0.174
0.822 -0.579 3.720
H O Pt
1 3 1
direct
0.500 0.500 0.500
0.000 0.500 0.000
0.000 0.000 0.500
0.500 0.000 0.000
0.000 0.000 0.000
```

## Properties
Calculated total energy (eV per cell): -20.79
Fermi-level density of states (states/eV/atom): 0.7099

Below is a relaxed HPtO3 crystal, with properties calculated at the PBE level.

Cell and atoms, written as POSCAR:
```
HPtO3
1.0
3.526 -0.233 0.000
-1.540 3.180 0.000
0.000 0.000 8.765
H Pt O
2 2 6
direct
0.610 0.801 0.250
0.801 0.610 0.750
0.989 0.989 0.500
0.989 0.989 0.000
0.322 0.656 0.438
0.322 0.656 0.062
0.934 0.958 0.250
0.656 0.322 0.938
0.656 0.322 0.562
0.958 0.934 0.750
```

## Properties
Calculated total energy (eV per cell): -50.34
Fermi-level density of states (states/eV/atom): 0.4586

Below is a relaxed HPtO crystal, with properties calculated at the PBE level.

Cell and atoms, written as POSCAR:
```
HPtO
1.0
2.734 -0.032 0.085
-0.023 2.698 -0.479
-0.764 -2.766 10.475
H O Pt
2 2 2
direct
0.205 0.767 0.232
0.795 0.233 0.768
0.849 0.597 0.973
0.151 0.403 0.027
0.230 0.067 0.391
0.770 0.933 0.609
```

## Properties
Calculated total energy (eV per cell): -27.26
Fermi-level density of states (states/eV/atom): 0.5964

Below is a relaxed H3Pt2O6 crystal, with properties calculated at the PBE level.

Cell and atoms, written as POSCAR:
```
H3Pt2O6
1.0
5.232 0.000 1.460
2.374 4.538 1.598
0.117 0.413 9.686
H Pt O
6 4 12
direct
0.072 0.919 0.721
0.438 0.250 0.750
0.712 0.581 0.779
0.288 0.419 0.221
0.928 0.081 0.279
0.562 0.750 0.250
0.326 0.843 0.998
0.832 0.343 0.498
0.674 0.157 0.002
0.168 0.657 0.502
0.030 0.919 0.884
0.391 0.200 0.884
0.689 0.550 0.892
0.166 0.419 0.384
0.870 0.050 0.392
0.525 0.700 0.384
0.970 0.081 0.116
0.609 0.800 0.116
0.311 0.450 0.108
0.834 0.581 0.616
0.130 0.950 0.608
0.475 0.300 0.616
```

## Properties
Calculated total energy (eV per cell): -116.93
Fermi-level density of states (states/eV/atom): 0.5301

Which value of Fermi-level density of states does entry 5 give?
0.7099 states/eV/atom

Please write out number 5 again, unchanged.
Below is a relaxed HPtO3 crystal, with properties calculated at the PBE level.

Cell and atoms, written as POSCAR:
```
HPtO3
1.0
-2.611 2.656 0.990
-2.713 -2.731 0.174
0.822 -0.579 3.720
H O Pt
1 3 1
direct
0.500 0.500 0.500
0.000 0.500 0.000
0.000 0.000 0.500
0.500 0.000 0.000
0.000 0.000 0.000
```

## Properties
Calculated total energy (eV per cell): -20.79
Fermi-level density of states (states/eV/atom): 0.7099

Please write out number 2 again, unchanged.
Below is a relaxed PrH3S3O12 crystal, with properties calculated at the PBE level.

Cell and atoms, written as POSCAR:
```
PrH3S3O12
1.0
-0.331 -8.015 -5.237
8.404 4.282 1.677
0.666 -3.221 4.887
Pr H S O
2 6 6 24
direct
0.333 0.667 0.758
0.667 0.333 0.258
0.166 0.250 0.625
0.750 0.916 0.625
0.084 0.834 0.625
0.834 0.750 0.125
0.250 0.084 0.125
0.916 0.166 0.125
0.395 0.303 0.751
0.697 0.091 0.751
0.909 0.605 0.751
0.605 0.697 0.251
0.303 0.909 0.251
0.091 0.395 0.251
0.247 0.818 0.466
0.182 0.429 0.466
0.571 0.753 0.466
0.753 0.182 0.966
0.818 0.571 0.966
0.429 0.247 0.966
0.738 0.200 0.557
0.800 0.538 0.557
0.462 0.262 0.557
0.262 0.800 0.057
0.200 0.462 0.057
0.538 0.738 0.057
0.205 0.196 0.733
0.804 0.009 0.733
0.991 0.795 0.733
0.795 0.804 0.233
0.196 0.991 0.233
0.009 0.205 0.233
0.437 0.472 0.754
0.528 0.965 0.754
0.035 0.563 0.754
0.563 0.528 0.254
0.472 0.035 0.254
0.965 0.437 0.254
```

## Properties
Calculated total energy (eV per cell): -233.70
Fermi-level density of states (states/eV/atom): 0.0000